No. 1
A geometry-optimized La12Tb6Y structure. Source: the Alexandria database, functional PBE.

Properties
Space group: R-3
Size of the total moment: 0.000 μB per cell
Formation energy from the elements: 0.22 eV per atom

a b c (Å): 9.350 9.350 9.350
angles (deg): 106.91 106.91 106.91
Sites, in units of the cell vectors:
La  0.118  0.816  0.287
La  0.184  0.713  0.882
La  0.194  0.583  0.487
La  0.287  0.118  0.816
La  0.417  0.513  0.806
La  0.487  0.194  0.583
La  0.513  0.806  0.417
La  0.583  0.487  0.194
La  0.713  0.882  0.184
La  0.806  0.417  0.513
La  0.816  0.287  0.118
La  0.882  0.184  0.713
Tb  0.087  0.192  0.442
Tb  0.192  0.442  0.087
Tb  0.442  0.087  0.192
Tb  0.558  0.913  0.808
Tb  0.808  0.558  0.913
Tb  0.913  0.808  0.558
Y  0.000  0.000  0.000

No. 2
A geometry-optimized La5Tb2Y structure. Source: the Alexandria database, functional PBE.

Properties
Space group: Cmcm
Size of the total moment: 0.000 μB per cell
Formation energy from the elements: 0.12 eV per atom

a b c (Å): 6.715 6.715 16.620
angles (deg): 90.00 90.00 129.79
Sites, in units of the cell vectors:
La  0.034  0.966  0.750
La  0.115  0.885  0.052
La  0.115  0.885  0.448
La  0.424  0.576  0.093
La  0.424  0.576  0.407
La  0.576  0.424  0.593
La  0.576  0.424  0.907
La  0.885  0.115  0.552
La  0.885  0.115  0.948
La  0.966  0.034  0.250
Tb  0.274  0.726  0.635
Tb  0.274  0.726  0.865
Tb  0.726  0.274  0.135
Tb  0.726  0.274  0.365
Y  0.247  0.753  0.250
Y  0.753  0.247  0.750

No. 3
A geometry-optimized La3Tb8Y2 structure. Source: the Alexandria database, functional PBE.

Properties
Space group: C2/m
Size of the total moment: 0.000 μB per cell
Formation energy from the elements: 0.24 eV per atom

a b c (Å): 10.867 10.867 5.692
angles (deg): 90.02 90.02 41.81
Sites, in units of the cell vectors:
La  0.000  0.000  0.000
La  0.298  0.702  0.500
La  0.702  0.298  0.500
Tb  0.136  0.136  0.499
Tb  0.183  0.599  0.000
Tb  0.327  0.327  0.500
Tb  0.401  0.817  0.000
Tb  0.599  0.183  0.000
Tb  0.673  0.673  0.500
Tb  0.817  0.401  0.000
Tb  0.864  0.864  0.501
Y  0.241  0.241  0.999
Y  0.759  0.759  0.001